Here is a PBEsol-optimized structure of K2CdHg from Alexandria. Energies are from meta-GGA SCAN.

## Properties
- DOS at the Fermi energy: 0.505 states/eV/atom
- ρ: 4597 kg/m3
- DFT formation energy: -18.6 kJ/mol of atoms
- Size of the total moment: 0.00 μB per atom

a b c (Å): 6.7023 6.7023 5.8196
angles (deg): 115.61 115.61 37.41
Closest atoms and distances in Å follow each position.
Element x y z (fractional)
K 0.0000 0.0000 0.0000  4 Hg 3.63-3.98, 4 K 3.69-4.00, 4 Cd 3.71
K 0.2015 0.2015 0.7018  4 Hg 3.67-3.68, 4 K 3.69-4.00, 4 Cd 3.78-3.87
Cd 0.4268 0.4268 0.4269  2 Hg 2.86
Hg 0.7595 0.7595 0.2600  2 Cd 2.86